(1)
The following is a DFT calculation (PBE-GGA) of a relaxed AcYHoSc crystal.

**Formation enthalpy at 0 K**: 12.0 kJ/mol of atoms
**Density of states at the Fermi level**: 6.0 states/eV per cell
**Symmetry**: F-43m

a = 5.709 Å, b = 5.709 Å, c = 5.709 Å
α = 60.00°, β = 60.00°, γ = 60.00°
Fractional positions:
Y (0.750, 0.750, 0.750)
Sc (0.000, 0.000, 0.000)
Ac (0.250, 0.250, 0.250)
Ho (0.500, 0.500, 0.500)

=====

(2)
The following is a DFT calculation (PBE-GGA) of a relaxed TmZrRu crystal.

**E above lowest polymorph**: 0 meV per atom
**Formation enthalpy at 0 K**: -31.4 kJ/mol of atoms
**Density of states at the Fermi level**: 2.0 states/eV per cell
**Symmetry**: I4mm

a = 3.338 Å, b = 3.338 Å, c = 6.166 Å
α = 105.71°, β = 105.71°, γ = 90.00°
Last column: magnetic moment on the atom in μB.
Fractional positions:
Ru (0.675, 0.675, 0.351)  0.10
Tm (0.019, 0.019, 0.039)  0.31
Zr (0.305, 0.305, 0.611)  0.34

=====

(3)
The following is a DFT calculation (PBE-GGA) of a relaxed BaLi2Te crystal.

**Formation energy from raw total energies**: -47.6 kJ/mol of atoms
**Density of states at the Fermi level**: 2.0 states/eV per cell
**Symmetry**: F-43m

a = 5.643 Å, b = 5.643 Å, c = 5.643 Å
α = 60.00°, β = 60.00°, γ = 60.00°
Fractional positions:
Ba (0.500, 0.500, 0.500)
Li (0.000, 0.000, 0.000)
Li (0.250, 0.250, 0.250)
Te (0.750, 0.750, 0.750)

=====

(4)
The following is a DFT calculation (PBE-GGA) of a relaxed TmMg3Hg crystal.

**Formation enthalpy at 0 K**: -9.3 kJ/mol of atoms
**Density of states at the Fermi level**: 3.4 states/eV per cell
**Symmetry**: Amm2

a = 4.838 Å, b = 4.828 Å, c = 5.951 Å
α = 113.93°, β = 90.00°, γ = 90.00°
Fractional positions:
Tm (0.500, 0.045, 0.090)
Mg (0.000, 0.544, 0.088)
Mg (0.000, 0.247, 0.494)
Mg (0.500, 0.742, 0.484)
Hg (0.500, 0.382, 0.763)